Rb3Ag2Br6 PBE relaxed; final energy = -2.79 eV per atom
1.0
-2.641 2.641 14.268
2.641 -2.641 14.268
2.641 2.641 -14.268
Rb Ag Br
3 2 6
direct
0.000 0.000 0.000 Rb
0.182 0.182 0.000 Rb
0.818 0.818 0.000 Rb
0.399 0.399 0.000 Ag
0.601 0.601 0.000 Ag
0.082 0.582 0.500 Br
0.302 0.302 0.000 Br
0.418 0.918 0.500 Br
0.582 0.082 0.500 Br
0.698 0.698 0.000 Br
0.918 0.418 0.500 Br